First-principles (PBE-GGA) data for CdCo2Os after structural relaxation, as listed in Alexandria via LeMat-Bulk.

Properties
Its energy of formation from the pure elements is 0.47 eV per atom.

Cell lengths 2.8571, 4.5187, 8.8532 Å; angles 90.00, 90.00, 90.00 degrees
Element x y z (fractional)
Cd 0.0000 0.0000 0.0000
Cd 0.5000 0.5000 0.0000
Co 0.0000 0.5000 0.2667
Co 0.0000 0.5000 0.7333
Co 0.5000 0.0000 0.2667
Co 0.5000 0.0000 0.7333
Os 0.0000 0.0000 0.5000
Os 0.5000 0.5000 0.5000